Compound: CeNd3
Source: Alexandria
Functional: GGA-PBE
Structure: optimized geometry

abc: 5.808 5.808 5.808
angles: 60.00 60.00 60.00
Sites, in units of the cell vectors:
Nd  0.000  0.000  0.000
Nd  0.750  0.750  0.750
Nd  0.250  0.250  0.250
Ce  0.500  0.500  0.500

Properties
ΔE to the lowest computed polymorph = 122.1 meV/atom
ΔE_f = 19.70 kJ per mole of atoms
V = 138.5 Å³/cell
total DFT energy (no corrections) = -19.4 eV/cell
spin magnetization = 0.702 μB/atom
SG = Fm-3m